Entry from Alexandria: a relaxed Li2LaY crystal (PBE).

- Total magnetization: 0.00 μB per atom
- ΔE_f: 0.18 eV/atom

Cell lengths 3.342, 3.342, 11.032 Å; angles 90.00, 90.00, 112.41 degrees
Positions (direct):
1 Li 0.000 0.000 0.242
2 Li 0.000 0.000 0.758
3 La 0.500 0.500 0.500
4 Y 0.500 0.500 0.000